1.
First-principles (PBE-GGA) data for a geometry-optimized PmNi2Pt6 structure, as listed in the Alexandria database.

Summary:
SG = Fd-3m, No. 227
total DFT energy (no corrections) = -52.2 eV per formula unit
energy relative to the elements = 0.04 eV/atom
crystal system = cubic
magnetic moment = 2.9 μB per formula unit

Cell lengths 7.943, 7.943, 7.943 Å; angles 60.00, 60.00, 60.00 degrees
Atoms (fractional coordinates):
Pm 0.500 0.500 0.500
Pm 0.750 0.750 0.750
Ni 0.125 0.125 0.125
Ni 0.125 0.625 0.125
Ni 0.125 0.125 0.625
Ni 0.625 0.125 0.125
Pt 0.249 0.249 0.751
Pt 0.751 0.751 0.249
Pt 0.249 0.751 0.249
Pt 0.249 0.751 0.751
Pt 0.499 0.499 0.001
Pt 0.499 0.001 0.001
Pt 0.751 0.249 0.751
Pt 0.001 0.001 0.499
Pt 0.499 0.001 0.499
Pt 0.001 0.499 0.499
Pt 0.751 0.249 0.249
Pt 0.001 0.499 0.001

***

2.
First-principles (PBE-GGA) data for a geometry-optimized PmNi2Pt2 structure, as listed in the Alexandria database.

Summary:
SG = I4/mmm, No. 139
total DFT energy (no corrections) = -30.8 eV per formula unit
energy relative to the elements = -0.49 eV/atom
crystal system = tetragonal
magnetic moment = 1.2 μB per formula unit

Cell lengths 4.037, 4.037, 11.116 Å; angles 100.46, 100.46, 90.00 degrees
Atoms (fractional coordinates):
Pm 0.621 0.621 0.242
Pm 0.379 0.379 0.758
Ni 0.750 0.250 0.500
Ni 0.930 0.930 0.859
Ni 0.070 0.070 0.141
Ni 0.250 0.750 0.500
Pt 0.000 0.500 0.000
Pt 0.181 0.181 0.361
Pt 0.500 0.000 0.000
Pt 0.819 0.819 0.639

***

3.
First-principles (PBE-GGA) data for a geometry-optimized PmNiPt2 structure, as listed in the Alexandria database.

Summary:
SG = Cmmm, No. 65
total DFT energy (no corrections) = -24.5 eV per formula unit
energy relative to the elements = -0.48 eV/atom
crystal system = orthorhombic
magnetic moment = 0.0 μB per formula unit

Cell lengths 4.168, 5.221, 4.394 Å; angles 126.45, 90.01, 90.00 degrees
Atoms (fractional coordinates):
Pm 0.500 0.500 0.000
Ni 0.500 0.000 0.000
Pt 0.000 0.806 0.612
Pt 0.000 0.194 0.388

***

4.
First-principles (PBE-GGA) data for a geometry-optimized PmNi4Pt structure, as listed in the Alexandria database.

Summary:
SG = F-43m, No. 216
total DFT energy (no corrections) = -35.8 eV per formula unit
energy relative to the elements = -0.32 eV/atom
crystal system = cubic
magnetic moment = 1.7 μB per formula unit

Cell lengths 4.953, 4.953, 4.953 Å; angles 60.00, 60.00, 60.00 degrees
Atoms (fractional coordinates):
Ni 0.627 0.627 0.120
Ni 0.627 0.120 0.627
Ni 0.627 0.627 0.627
Ni 0.120 0.627 0.627
Pt 0.000 0.000 0.000
Pm 0.250 0.250 0.250

***

5.
First-principles (PBE-GGA) data for a geometry-optimized Pm3Ni2Pt structure, as listed in the Alexandria database.

Summary:
SG = P4/mmm, No. 123
total DFT energy (no corrections) = -35.0 eV per formula unit
energy relative to the elements = -0.53 eV/atom
crystal system = tetragonal
magnetic moment = 0.0 μB per formula unit

Cell lengths 3.517, 3.517, 10.519 Å; angles 90.00, 90.00, 90.00 degrees
Atoms (fractional coordinates):
Pm 0.000 0.000 0.000
Pm 0.000 0.000 0.672
Pm 0.000 0.000 0.328
Ni 0.500 0.500 0.837
Ni 0.500 0.500 0.163
Pt 0.500 0.500 0.500

***

6.
First-principles (PBE-GGA) data for a geometry-optimized Pm2NiPt structure, as listed in the Alexandria database.

Summary:
SG = Fm-3m, No. 225
total DFT energy (no corrections) = -24.0 eV per formula unit
energy relative to the elements = -0.66 eV/atom
crystal system = cubic
magnetic moment = 0.0 μB per formula unit

Cell lengths 5.006, 5.006, 5.007 Å; angles 59.99, 59.99, 59.99 degrees
Atoms (fractional coordinates):
Ni 0.750 0.750 0.750
Pt 0.250 0.250 0.250
Pm 0.500 0.500 0.500
Pm 0.000 0.000 0.000

***

7.
First-principles (PBE-GGA) data for a geometry-optimized PmNiPt4 structure, as listed in the Alexandria database.

Summary:
SG = F-43m, No. 216
total DFT energy (no corrections) = -37.7 eV per formula unit
energy above the lowest structure with this stoichiometry = 23 meV per atom
energy relative to the elements = -0.51 eV/atom
crystal system = cubic
magnetic moment = 0.8 μB per formula unit

Cell lengths 5.345, 5.345, 5.345 Å; angles 60.00, 60.00, 60.00 degrees
Atoms (fractional coordinates):
Ni 0.000 0.000 0.000
Pt 0.626 0.626 0.123
Pt 0.626 0.123 0.626
Pt 0.626 0.626 0.626
Pt 0.123 0.626 0.626
Pm 0.250 0.250 0.250

***

8.
First-principles (PBE-GGA) data for a geometry-optimized Pm4Ni3Pt structure, as listed in the Alexandria database.

Summary:
SG = Pmm2, No. 25
total DFT energy (no corrections) = -46.8 eV per formula unit
energy relative to the elements = -0.56 eV/atom
crystal system = orthorhombic
magnetic moment = 0.0 μB per formula unit

Cell lengths 3.845, 4.397, 10.523 Å; angles 90.00, 90.00, 90.00 degrees
Atoms (fractional coordinates):
Pm 0.500 0.500 0.367
Pm 0.000 0.500 0.857
Pm 0.000 0.000 0.140
Pm 0.500 0.000 0.637
Ni 0.000 0.500 0.571
Ni 0.000 0.000 0.431
Ni 0.500 0.000 0.918
Pt 0.500 0.500 0.078

***

9.
First-principles (PBE-GGA) data for a geometry-optimized Pm12Ni6Pt structure, as listed in the Alexandria database.

Summary:
SG = R-3, No. 148
total DFT energy (no corrections) = -101.7 eV per formula unit
energy above the lowest structure with this stoichiometry = 106 meV per atom
energy relative to the elements = -0.21 eV/atom
crystal system = trigonal
magnetic moment = 0.0 μB per formula unit

Cell lengths 8.230, 8.230, 8.230 Å; angles 98.94, 98.94, 98.94 degrees
Atoms (fractional coordinates):
Pm 0.819 0.587 0.427
Pm 0.427 0.819 0.587
Pm 0.587 0.427 0.819
Pm 0.181 0.413 0.573
Pm 0.573 0.181 0.413
Pm 0.413 0.573 0.181
Pm 0.090 0.940 0.327
Pm 0.060 0.673 0.910
Pm 0.673 0.910 0.060
Pm 0.910 0.060 0.673
Pm 0.940 0.327 0.090
Pm 0.327 0.090 0.940
Ni 0.688 0.867 0.389
Ni 0.611 0.312 0.133
Ni 0.133 0.611 0.312
Ni 0.312 0.133 0.611
Ni 0.389 0.688 0.867
Ni 0.867 0.389 0.688
Pt 0.000 0.000 0.000

***

10.
First-principles (PBE-GGA) data for a geometry-optimized Pm6NiPt2 structure, as listed in the Alexandria database.

Summary:
SG = P2_1/c, No. 14
total DFT energy (no corrections) = -51.8 eV per formula unit
energy relative to the elements = -0.60 eV/atom
crystal system = monoclinic
magnetic moment = 0.0 μB per formula unit

Cell lengths 6.761, 7.343, 10.305 Å; angles 90.00, 93.56, 90.00 degrees
Atoms (fractional coordinates):
Pm 0.847 0.961 0.245
Pm 0.824 0.676 0.574
Pm 0.826 0.682 0.934
Pm 0.674 0.182 0.566
Pm 0.676 0.176 0.926
Pm 0.653 0.461 0.255
Pm 0.153 0.039 0.755
Pm 0.176 0.324 0.426
Pm 0.174 0.318 0.066
Pm 0.326 0.818 0.434
Pm 0.324 0.824 0.074
Pm 0.347 0.539 0.745
Ni 0.500 0.500 0.000
Ni 0.000 0.000 0.500
Pt 0.945 0.385 0.768
Pt 0.555 0.885 0.732
Pt 0.445 0.115 0.268
Pt 0.055 0.615 0.232

***

11.
First-principles (PBE-GGA) data for a geometry-optimized Pm2NiPt structure, as listed in the Alexandria database.

Summary:
SG = P2_1/m, No. 11
total DFT energy (no corrections) = -24.4 eV per formula unit
energy relative to the elements = -0.77 eV/atom
crystal system = monoclinic
magnetic moment = 0.0 μB per formula unit

Cell lengths 4.403, 5.666, 7.822 Å; angles 110.15, 90.00, 90.00 degrees
Atoms (fractional coordinates):
Pm 0.750 0.224 0.430
Pm 0.250 0.776 0.570
Pm 0.250 0.780 0.068
Pm 0.750 0.220 0.932
Ni 0.250 0.344 0.209
Ni 0.750 0.656 0.791
Pt 0.750 0.657 0.288
Pt 0.250 0.343 0.712

***

12.
First-principles (PBE-GGA) data for a geometry-optimized Pm8NiPt2 structure, as listed in the Alexandria database.

Summary:
SG = Cm, No. 8
total DFT energy (no corrections) = -60.1 eV per formula unit
energy above the lowest structure with this stoichiometry = 84 meV per atom
energy relative to the elements = -0.38 eV/atom
crystal system = monoclinic
magnetic moment = 0.0 μB per formula unit

Cell lengths 6.467, 7.565, 7.565 Å; angles 107.66, 102.37, 102.37 degrees
Atoms (fractional coordinates):
Pm 0.608 0.357 0.086
Pm 0.608 0.086 0.357
Pm 0.185 0.364 0.364
Pm 0.964 0.169 0.831
Pm 0.964 0.831 0.169
Pm 0.786 0.639 0.639
Pm 0.333 0.921 0.643
Pm 0.333 0.643 0.921
Ni 0.239 0.011 0.011
Pt 0.489 0.689 0.323
Pt 0.489 0.323 0.689

***

Among the records above, which one has the highest magnetic moment? PmNi2Pt6